Record 1
Computed, not measured: an optimized crystal structure of CaTlAgN at the PBE-GGA level of DFT.

Properties
Symmetry: Cm, No. 8
DFT total energy (eV/atom): -3.88
Crystal system: monoclinic
Mass density (g cm⁻³): 7.3

Cell and atoms, written as extended XYZ:
```
8
Lattice="-0.8544 5.9933 -4.1262 -3.4015 -1.0684 -0.8474 -1.9791 1.5315 6.0130" Properties=species:S:1:pos:R:3 pbc="T T T"
Ca -1.7833 1.7375 4.9674
Ca -2.4945 0.4376 1.5371
Tl -1.7478 3.8938 2.1064
Tl -2.4590 2.5939 -1.3238
Ag -0.8524 4.7321 -2.5446
Ag -3.5427 4.9637 0.0382
N -1.7791 6.3516 -0.8665
N -4.4694 6.5831 1.7163
```

Record 2
Computed, not measured: an optimized crystal structure of Au4F at the PBE-GGA level of DFT.

Properties
Symmetry: Pm-3m, No. 221
DFT total energy (eV/atom): -2.62
Crystal system: cubic
Mass density (g cm⁻³): 13.9

Cell and atoms, written as extended XYZ:
```
5
Lattice="-0.2812 1.4726 -4.3349 -2.3900 -3.7515 -1.1194 -3.9048 2.1901 0.9972" Properties=species:S:1:pos:R:3 pbc="T T T"
Au 0.0000 0.0000 0.0000
Au -2.0930 1.8313 -1.6688
Au -3.1474 -0.7807 -0.0611
Au -1.3356 -1.1395 -2.7271
F -3.2880 -0.0444 -2.2285
```

Question: What is the DFT total energy in the first record?
Answer: -3.88 eV/atom